(1)
Density functional theory data (PBE) for ZnNi4 after structural relaxation.

## Properties
energy	-4.643	eV/atom
DOS(E_F)	1.44	states/eV/atom
ΔH_f (0 K)	0.24	eV per atom

Cell: 3.3020 3.3020 6.2517 Å, 105.39 105.39 90.01°
Last column: nearest neighbours and their distance in Å.
Sites, in units of the cell vectors:
Ni1 0.2499 0.2501 0.0000  8 Ni 2.33-2.40
Ni2 0.0990 0.5990 0.6988  5 Ni 2.30-2.40
Ni3 0.9010 0.4010 0.3013  5 Ni 2.30-2.40
Ni4 0.7501 0.7499 0.0000  8 Ni 2.33-2.40
Zn1 0.5000 0.0000 0.5000  8 Ni 2.60-2.61

(2)
Density functional theory data (PBE) for Zn8Ni after structural relaxation.

## Properties
energy	-1.808	eV/atom
DOS(E_F)	0.24	states/eV/atom
ΔH_f (0 K)	-0.03	eV per atom

Cell: 3.8489 6.0564 6.0564 Å, 95.80 108.53 71.47°
Last column: nearest neighbours and their distance in Å.
Sites, in units of the cell vectors:
Zn1 0.0000 0.6709 0.6709  1 Ni 2.67, 11 Zn 2.70-2.78
Zn2 0.3291 0.6709 0.3291  1 Ni 2.67, 11 Zn 2.70-2.78
Zn3 0.3382 0.3235 0.0000  10 Zn 2.63-2.80, 2 Ni 2.67
Zn4 0.6618 0.6765 0.0000  10 Zn 2.63-2.80, 2 Ni 2.67
Zn5 0.0000 0.3291 0.3291  1 Ni 2.67, 11 Zn 2.70-2.78
Zn6 0.6618 0.0000 0.3235  10 Zn 2.63-2.80, 2 Ni 2.67
Zn7 0.3382 0.0000 0.6765  10 Zn 2.63-2.80, 2 Ni 2.67
Zn8 0.6709 0.3291 0.6709  1 Ni 2.67, 11 Zn 2.70-2.78
Ni1 0.0000 0.0000 0.0000  12 Zn 2.67

(3)
Density functional theory data (PBE) for ZnNi after structural relaxation.

## Properties
energy	-3.371	eV/atom
DOS(E_F)	0.61	states/eV/atom
ΔH_f (0 K)	0.16	eV per atom

Cell: 4.7603 4.7603 4.8183 Å, 90.00 90.00 90.00°
Last column: nearest neighbours and their distance in Å.
Sites, in units of the cell vectors:
Ni1 0.6888 0.6888 0.5000  6 Zn 2.41-2.47, 1 Ni 2.54
Ni2 0.1888 0.8112 0.0000  6 Zn 2.41-2.47, 1 Ni 2.54
Ni3 0.3112 0.3112 0.5000  6 Zn 2.41-2.47, 1 Ni 2.54
Ni4 0.8112 0.1888 0.0000  6 Zn 2.41-2.47, 1 Ni 2.54
Zn1 0.8062 0.1938 0.5000  6 Ni 2.41-2.47, 1 Zn 2.61
Zn2 0.6938 0.6938 0.0000  6 Ni 2.41-2.47, 1 Zn 2.61
Zn3 0.3062 0.3062 0.0000  6 Ni 2.41-2.47, 1 Zn 2.61
Zn4 0.1938 0.8062 0.5000  6 Ni 2.41-2.47, 1 Zn 2.61